# 1
{"formula": "Pr2Th2Cd", "functional": "PBE-GGA", "state": "relaxed", "cell": [[-1.829, 1.829, 11.795], [1.829, -1.829, 11.795], [1.829, 1.829, -11.795]], "species": ["Pr", "Pr", "Th", "Th", "Cd"], "frac_coords": [[0.092, 0.092, 0.000], [0.908, 0.908, 0.000], [0.300, 0.300, 0.000], [0.700, 0.700, 0.000], [0.500, 0.500, 0.000]], "final_energy_ev_per_cell": -25.91, "spacegroup": "I4/mmm, No. 139", "mass_density_g_cm3": 9.028, "e_form_ev_per_atom": -0.120}

---

# 2
{"formula": "HfTi3Si2", "functional": "PBE-GGA", "state": "relaxed", "cell": [[7.699, -1.831, 0.000], [7.699, 1.831, 0.000], [-3.117, 0.000, 7.147]], "species": ["Hf", "Hf", "Ti", "Ti", "Ti", "Ti", "Ti", "Ti", "Si", "Si", "Si", "Si"], "frac_coords": [[0.117, 0.117, 0.135], [0.883, 0.883, 0.865], [0.057, 0.057, 0.675], [0.314, 0.314, 0.102], [0.349, 0.349, 0.519], [0.651, 0.651, 0.481], [0.686, 0.686, 0.898], [0.943, 0.943, 0.325], [0.241, 0.241, 0.721], [0.489, 0.489, 0.149], [0.511, 0.511, 0.851], [0.759, 0.759, 0.279]], "final_energy_ev_per_cell": -95.72, "spacegroup": "C2/m, No. 12", "mass_density_g_cm3": 6.235, "e_form_raw_mev_per_atom": -562.8}

---

# 3
{"formula": "PmHoFe", "functional": "PBE-GGA", "state": "relaxed", "cell": [[-1.686, 1.686, 6.475], [1.686, -1.686, 6.475], [1.686, 1.686, -6.475]], "species": ["Pm", "Ho", "Fe"], "frac_coords": [[0.000, 0.000, 0.000], [0.750, 0.750, 0.000], [0.370, 0.370, 0.000]], "final_energy_ev_per_cell": -17.47, "spacegroup": "I4mm, No. 107", "mass_density_g_cm3": 8.248, "e_form_ev_per_atom": 0.106, "relative_energy_ev_per_atom": 0.040}

---

# 4
{"formula": "KTlI2F", "functional": "PBE-GGA", "state": "relaxed", "cell": [[6.266, 0.000, 0.000], [0.000, 6.266, 0.000], [0.000, 0.000, 4.730]], "species": ["K", "Tl", "I", "I", "F"], "frac_coords": [[0.000, 0.000, 0.000], [0.500, 0.500, 0.500], [0.000, 0.500, 0.500], [0.500, 0.000, 0.500], [0.500, 0.500, 0.000]], "final_energy_ev_per_cell": -14.46, "spacegroup": "P4/mmm, No. 123", "mass_density_g_cm3": 4.616, "e_form_raw_mev_per_atom": -1204.7, "relative_energy_ev_per_atom": 0.000}

---

# 5
{"formula": "Sm3Dy5Er3", "functional": "PBE-GGA", "state": "relaxed", "cell": [[9.657, 0.000, 0.000], [-4.829, 8.363, 0.000], [0.000, 0.000, 5.390]], "species": ["Sm", "Sm", "Sm", "Dy", "Dy", "Dy", "Dy", "Dy", "Er", "Er", "Er"], "frac_coords": [[0.000, 0.367, 0.000], [0.367, 0.000, 0.000], [0.633, 0.633, 0.000], [0.000, 0.737, 0.000], [0.263, 0.263, 0.000], [0.333, 0.667, 0.000], [0.667, 0.333, 0.000], [0.737, 0.000, 0.000], [0.000, 0.552, 0.500], [0.448, 0.448, 0.500], [0.552, 0.000, 0.500]], "final_energy_ev_per_cell": -41.82, "spacegroup": "P-62m, No. 189", "mass_density_g_cm3": 6.734, "e_form_ev_per_atom": 0.822}

---

# 6
{"formula": "Dy2Y6Er3Sc", "functional": "PBE-GGA", "state": "relaxed", "cell": [[3.054, -5.285, 0.000], [3.054, 5.285, 0.000], [-2.030, 0.000, 11.514]], "species": ["Dy", "Dy", "Y", "Y", "Y", "Y", "Y", "Y", "Er", "Er", "Er", "Sc"], "frac_coords": [[0.167, 0.833, 0.000], [0.833, 0.167, 0.000], [0.087, 0.418, 0.752], [0.251, 0.251, 0.249], [0.418, 0.087, 0.752], [0.582, 0.913, 0.248], [0.749, 0.749, 0.751], [0.913, 0.582, 0.248], [0.000, 0.000, 0.500], [0.334, 0.666, 0.500], [0.666, 0.334, 0.500], [0.500, 0.500, 0.000]], "final_energy_ev_per_cell": -67.60, "spacegroup": "C2/m, No. 12", "mass_density_g_cm3": 6.278, "e_form_ev_per_atom": 0.034}

---

# 7
{"formula": "Ho3Si4Ni7", "functional": "PBE-GGA", "state": "relaxed", "cell": [[7.349, -1.927, 0.000], [7.349, 1.927, 0.000], [-5.306, 0.000, 7.245]], "species": ["Ho", "Ho", "Ho", "Si", "Si", "Si", "Si", "Ni", "Ni", "Ni", "Ni", "Ni", "Ni", "Ni"], "frac_coords": [[0.000, 0.000, 0.000], [0.323, 0.323, 0.328], [0.677, 0.677, 0.672], [0.112, 0.112, 0.828], [0.336, 0.336, 0.721], [0.664, 0.664, 0.279], [0.888, 0.888, 0.172], [0.000, 0.000, 0.500], [0.164, 0.164, 0.422], [0.311, 0.311, 0.971], [0.494, 0.494, 0.722], [0.506, 0.506, 0.278], [0.689, 0.689, 0.029], [0.836, 0.836, 0.578]], "final_energy_ev_per_cell": -85.80, "spacegroup": "C2/m, No. 12", "mass_density_g_cm3": 8.237, "e_form_raw_mev_per_atom": -707.2}

---

# 8
{"formula": "TmHfSn2", "functional": "PBE-GGA", "state": "relaxed", "cell": [[4.660, 0.000, 0.000], [0.000, 4.660, 0.000], [0.000, 0.000, 4.349]], "species": ["Tm", "Hf", "Sn", "Sn"], "frac_coords": [[0.000, 0.000, 0.000], [0.500, 0.500, 0.000], [0.000, 0.500, 0.500], [0.500, 0.000, 0.500]], "final_energy_ev_per_cell": -23.80, "spacegroup": "P4/mmm, No. 123", "mass_density_g_cm3": 10.285, "e_form_ev_per_atom": -0.343, "relative_energy_ev_per_atom": 0.040}